Entry 1:
NaPr2Cd | PBE | relaxed

The structure belongs to space group P4/mmm (No. 123); the cell edges are 5.536, 5.536 and 4.041 Å and the angles 90.00°, 90.00° and 90.00°. The asymmetric unit holds Na at (0.000, 0.000, 0.000), Pr at (0.000, 0.500, 0.500) and Cd at (0.500, 0.500, 0.000).

The distance to the lowest polymorph of the same formula comes out at 1.9 kJ per mole of atoms. The formation energy comes out at -4 kJ/mol of formula units. The magnetic moment comes out at 0.0 μB/f.u. The value obtained for the uncorrected energy is -11.83 eV for the cell shown. Its crystal system is tetragonal.

***

Entry 2:
NaPr2Cd | PBE | relaxed

The structure belongs to space group Fm-3m (No. 225); the cell edges are 7.907, 7.907 and 7.907 Å and the angles 90.00°, 90.00° and 90.00°. The asymmetric unit holds Na at (0.000, 0.000, 0.000), Pr at (0.250, 0.250, 0.250) and Cd at (0.000, 0.000, 0.500).

The distance to the lowest polymorph of the same formula comes out at 2.0 kJ per mole of atoms. The formation energy comes out at -4 kJ/mol of formula units. The magnetic moment comes out at 0.8 μB/f.u. The value obtained for the uncorrected energy is -47.32 eV for the cell shown. Its crystal system is cubic.

***

Entry 3:
NaPr2Cd | PBE | relaxed

The structure belongs to space group P4/mmm (No. 123); the cell edges are 3.915, 3.915 and 8.461 Å and the angles 90.00°, 90.00° and 90.00°. The asymmetric unit holds Na at (0.000, 0.000, 0.000), Pr at (0.500, 0.500, 0.283) and Cd at (0.000, 0.000, 0.500).

The distance to the lowest polymorph of the same formula comes out at 0.0 kJ per mole of atoms. The formation energy comes out at -12 kJ/mol of formula units. The magnetic moment comes out at 0.5 μB/f.u. The value obtained for the uncorrected energy is -11.91 eV for the cell shown. Its crystal system is tetragonal.

***

Entry 4:
NaPrCd2 | PBE | relaxed

The structure belongs to space group P4/mmm (No. 123); the cell edges are 5.549, 5.549 and 3.667 Å and the angles 90.00°, 90.00° and 90.00°. The asymmetric unit holds Na at (0.000, 0.000, 0.000), Pr at (0.500, 0.500, 0.000) and Cd at (0.000, 0.500, 0.500).

The distance to the lowest polymorph of the same formula comes out at 2.2 kJ per mole of atoms. The formation energy comes out at -68 kJ/mol of formula units. The magnetic moment comes out at 0.0 μB/f.u. The value obtained for the uncorrected energy is -8.63 eV for the cell shown. Its crystal system is tetragonal.

***

Entry 5:
NaPrCd | PBE | relaxed

The structure belongs to space group Cmcm (No. 63); the cell edges are 3.732, 17.517 and 5.532 Å and the angles 90.00°, 90.00° and 90.00°. The asymmetric unit holds Na at (0.000, 0.245, 0.250), Pr at (0.000, 0.066, 0.750) and Cd at (0.000, 0.403, 0.750).

The distance to the lowest polymorph of the same formula comes out at 0.0 kJ per mole of atoms. The formation energy comes out at -29 kJ/mol of formula units. The magnetic moment comes out at 0.2 μB/f.u. The value obtained for the uncorrected energy is -29.25 eV for the cell shown. Its crystal system is orthorhombic.

***

Entry 6:
NaPr4Cd5 | PBE | relaxed

The structure belongs to space group P4/mmm (No. 123); the cell edges are 3.850, 3.850 and 19.466 Å and the angles 90.00°, 90.00° and 90.00°. The asymmetric unit holds Na at (0.000, 0.000, 0.000), Pr at (0.000, 0.000, 0.198), Pr at (0.000, 0.000, 0.399), Cd at (0.500, 0.500, 0.097), Cd at (0.500, 0.500, 0.299) and Cd at (0.500, 0.500, 0.500).

The formation energy comes out at -254 kJ/mol of formula units. The magnetic moment comes out at 0.0 μB/f.u. The value obtained for the uncorrected energy is -27.65 eV for the cell shown. Its crystal system is tetragonal.

***

Entry 7:
NaPrCd4 | PBE | relaxed

The structure belongs to space group F-43m (No. 216); the cell edges are 8.487, 8.487 and 8.487 Å and the angles 90.00°, 90.00° and 90.00°. The asymmetric unit holds Na at (0.000, 0.000, 0.000), Pr at (0.250, 0.250, 0.250) and Cd at (0.125, 0.125, 0.625).

The distance to the lowest polymorph of the same formula comes out at 3.7 kJ per mole of atoms. The formation energy comes out at -104 kJ/mol of formula units. The magnetic moment comes out at 0.0 μB/f.u. The value obtained for the uncorrected energy is -43.34 eV for the cell shown. Its crystal system is cubic.

***

Entry 8:
NaPrCd | PBE | relaxed

The structure belongs to space group P3m1 (No. 156); the cell edges are 5.4087, 5.4087 and 3.3746 Å and the angles 90.00°, 90.00° and 120.00°. The asymmetric unit holds Na at (0.0000, 0.0000, 0.0000), Pr at (0.3333, 0.6667, 0.4975) and Cd at (0.6667, 0.3333, 0.9960).

The distance to the lowest polymorph of the same formula comes out at 5.1 kJ per mole of atoms. The formation energy comes out at -13 kJ/mol of formula units. The magnetic moment comes out at 0.0 μB/f.u. The value obtained for the uncorrected energy is -7.15 eV for the cell shown. Its crystal system is trigonal.

***

Entry 9:
NaPrCd | PBE | relaxed

The structure belongs to space group I4mm (No. 107); the cell edges are 3.534, 3.534 and 14.887 Å and the angles 90.00°, 90.00° and 90.00°. The asymmetric unit holds Na at (0.000, 0.000, 0.000), Pr at (0.000, 0.000, 0.293) and Cd at (0.000, 0.000, 0.649).

The distance to the lowest polymorph of the same formula comes out at 6.4 kJ per mole of atoms. The formation energy comes out at -10 kJ/mol of formula units. The magnetic moment comes out at 0.0 μB/f.u. The value obtained for the uncorrected energy is -14.23 eV for the cell shown. Its crystal system is tetragonal.

***

Entry 10:
Na2PrCd6 | PBE | relaxed

The structure belongs to space group C2/m (No. 12); the cell edges are 15.394, 8.887 and 3.353 Å and the angles 90.00°, 90.07° and 90.00°. The asymmetric unit holds Na at (0.167, 0.000, 0.000), Pr at (0.000, 0.500, 0.000), Cd at (0.000, 0.163, 0.500) and Cd at (0.169, 0.331, 0.501).

The formation energy comes out at -151 kJ/mol of formula units. The magnetic moment comes out at 0.0 μB/f.u. The value obtained for the uncorrected energy is -28.94 eV for the cell shown. Its crystal system is monoclinic.

***

Entry 11:
Na2Pr2Cd15 | PBE | relaxed

The structure belongs to space group R-3m (No. 166, hexagonal axes); the cell edges are 10.2501, 10.2501 and 14.9004 Å and the angles 90.00°, 90.00° and 120.00°. The asymmetric unit holds Na at (0.0000, 0.0000, 0.0997), Pr at (0.0000, 0.0000, 0.3419), Cd at (0.0000, 0.3046, 0.0000), Cd at (0.0000, 0.5000, 0.5000) and Cd at (0.0126, 0.5063, 0.1507).

The formation energy comes out at -288 kJ/mol of formula units. The magnetic moment comes out at 0.0 μB/f.u. The value obtained for the uncorrected energy is -86.72 eV for the cell shown. Its crystal system is trigonal.

***

Entry 12:
NaPrCd2 | PBE | relaxed

The structure belongs to space group Fm-3m (No. 225); the cell edges are 7.565, 7.565 and 7.565 Å and the angles 90.00°, 90.00° and 90.00°. The asymmetric unit holds Na at (0.000, 0.000, 0.000), Pr at (0.000, 0.000, 0.500) and Cd at (0.250, 0.250, 0.250).

The distance to the lowest polymorph of the same formula comes out at 0.0 kJ per mole of atoms. The formation energy comes out at -77 kJ/mol of formula units. The magnetic moment comes out at 0.0 μB/f.u. The value obtained for the uncorrected energy is -34.90 eV for the cell shown. Its crystal system is cubic.

***

What did the fifth record say?
NaPrCd | PBE | relaxed

The structure belongs to space group Cmcm (No. 63); the cell edges are 3.732, 17.517 and 5.532 Å and the angles 90.00°, 90.00° and 90.00°. The asymmetric unit holds Na at (0.000, 0.245, 0.250), Pr at (0.000, 0.066, 0.750) and Cd at (0.000, 0.403, 0.750).

The distance to the lowest polymorph of the same formula comes out at 0.0 kJ per mole of atoms. The formation energy comes out at -29 kJ/mol of formula units. The magnetic moment comes out at 0.2 μB/f.u. The value obtained for the uncorrected energy is -29.25 eV for the cell shown. Its crystal system is orthorhombic.